# Ac3Te4Pd3

A relaxed structure of Ac3Te4Pd3 (PBE, Alexandria via LeMat-Bulk).

Structure (POSCAR):
```
Ac3Te4Pd3
1.0
-5.194 6.928 -2.269
-4.338 -5.185 5.867
7.560 3.029 3.714
Te Ac Pd
8 6 6
direct
0.837 0.500 0.000
0.500 0.337 0.500
0.663 0.163 0.163
0.163 0.663 0.663
0.000 0.000 0.337
0.500 0.837 0.500
0.337 0.500 0.000
0.000 0.000 0.837
0.750 0.625 0.375
0.625 0.750 0.875
0.875 0.250 0.625
0.250 0.875 0.125
0.375 0.125 0.750
0.125 0.375 0.250
0.250 0.375 0.625
0.375 0.250 0.125
0.750 0.125 0.875
0.875 0.625 0.750
0.625 0.875 0.250
0.125 0.750 0.375
```

Calculated values
For the energy relative to the elements, uncorrected, the calculation gives -1220.3 meV/atom. The volume is 27.60 Å³/atom.

=====

# ErPaSn

A relaxed structure of ErPaSn (PBE, Alexandria via LeMat-Bulk).

Structure (POSCAR):
```
ErPaSn
1.0
-3.036 0.535 -1.169
-1.155 -2.450 1.880
0.848 5.696 5.053
Pa Sn Er
1 1 1
direct
0.671 0.671 0.342
0.333 0.333 0.667
0.995 0.995 0.991
```

Calculated values
The volume is 26.45 Å³/atom. The formation energy is -0.142 eV/atom. The energy above the most stable polymorph in this dataset is 0 meV per atom.

=====

# Nd6Sm7Y16

A relaxed structure of Nd6Sm7Y16 (PBE, Alexandria via LeMat-Bulk).

Structure (POSCAR):
```
Nd6Sm7Y16
1.0
-3.233 2.351 10.458
6.835 -2.178 8.596
4.821 8.417 5.591
Y Sm Nd
16 7 6
direct
0.843 0.386 0.386
0.851 0.851 0.448
0.851 0.448 0.851
0.149 0.149 0.149
0.386 0.386 0.843
0.851 0.851 0.851
0.149 0.552 0.149
0.614 0.614 0.157
0.614 0.614 0.614
0.149 0.149 0.552
0.614 0.157 0.614
0.552 0.149 0.149
0.386 0.386 0.386
0.386 0.843 0.386
0.448 0.851 0.851
0.157 0.614 0.614
0.000 0.000 0.000
0.500 0.000 0.000
0.500 0.500 0.000
0.500 0.000 0.500
0.000 0.500 0.500
0.000 0.500 0.000
0.000 0.000 0.500
0.777 0.223 0.777
0.223 0.223 0.777
0.223 0.777 0.777
0.777 0.777 0.223
0.777 0.223 0.223
0.223 0.777 0.223
```

Calculated values
The volume is 34.22 Å³/atom. The formation energy is 0.182 eV/atom.

=====

# Rb5Os2Cl12

A relaxed structure of Rb5Os2Cl12 (PBE, Alexandria via LeMat-Bulk).

Structure (POSCAR):
```
Rb5Os2Cl12
1.0
7.476 0.000 0.000
-3.738 8.784 -1.913
0.000 -0.985 10.686
Os Cl Rb
2 12 5
direct
0.249 0.000 0.000
0.751 0.000 0.000
0.001 0.002 0.141
0.601 0.697 0.412
0.882 0.272 0.066
0.903 0.303 0.588
0.999 0.998 0.859
0.390 0.272 0.066
0.499 0.997 0.857
0.097 0.697 0.412
0.118 0.728 0.934
0.610 0.728 0.934
0.399 0.303 0.588
0.501 0.003 0.143
0.692 0.384 0.828
0.000 0.000 0.500
0.308 0.616 0.172
0.301 0.602 0.618
0.699 0.398 0.382
```

Calculated values
For the energy relative to the elements, uncorrected, the calculation gives -1129.5 meV/atom. The volume is 36.19 Å³/atom.

=====

# Tm5Pd12Au2

A relaxed structure of Tm5Pd12Au2 (PBE, Alexandria via LeMat-Bulk).

Structure (POSCAR):
```
Tm5Pd12Au2
1.0
5.562 0.000 0.000
-2.781 8.157 -0.075
0.000 -2.988 8.473
Tm Pd Au
5 12 2
direct
0.627 0.253 0.865
0.686 0.372 0.357
0.314 0.628 0.643
0.373 0.747 0.135
0.000 0.000 0.500
0.972 0.410 0.115
0.906 0.311 0.608
0.889 0.778 0.702
0.094 0.689 0.392
0.438 0.410 0.115
0.522 0.043 0.370
0.562 0.590 0.885
0.405 0.311 0.608
0.028 0.590 0.885
0.478 0.957 0.630
0.595 0.689 0.392
0.111 0.222 0.298
0.753 0.000 0.000
0.247 0.000 0.000
```

Calculated values
The volume is 20.17 Å³/atom. The formation energy is -0.539 eV/atom.

=====

# MnCoH

A relaxed structure of MnCoH (PBE, Alexandria via LeMat-Bulk).

Structure (POSCAR):
```
MnCoH
1.0
-0.880 1.473 2.206
-3.992 0.065 -1.637
-0.300 -3.665 2.327
H Mn Co
2 2 2
direct
0.303 0.019 0.561
0.803 0.519 0.561
0.803 0.799 0.289
0.803 0.239 0.832
0.303 0.300 0.304
0.303 0.738 0.818
```

Calculated values
The volume is 8.64 Å³/atom. The energy above the most stable polymorph in this dataset is 0 meV per atom.

=====

no.,total magnetization (μB/cell),density of states at the Fermi level (states/eV/cell),electronic total energy (eV per atom)
1,0.00,11.66,-5.267
2,0.00,5.43,-6.162
3,0.00,50.43,-5.510
4,2.91,13.91,-3.732
5,0.00,7.77,-5.340
6,8.92,3.42,-6.530